Entry 1:
A plane-wave DFT calculation with PBE was carried out for Cs3Pm2SmO6 after structural relaxation.

a = 6.3526 Å, b = 6.3526 Å, c = 7.2550 Å
α = 98.39°, β = 98.39°, γ = 120.00°
Last column: nearest neighbours and their distance in Å.
Atoms (fractional coordinates):
O1 0.7242 0.7242 0.1683  1 Sm 2.41, 2 Pm 2.42
O2 0.6120 0.9439 0.8318  1 Sm 2.41, 2 Pm 2.42
O3 0.9439 0.6120 0.8318  1 Sm 2.41, 2 Pm 2.42
O4 0.2758 0.2758 0.8317  1 Sm 2.41, 2 Pm 2.42
O5 0.3880 0.0561 0.1682  1 Sm 2.41, 2 Pm 2.42
O6 0.0561 0.3880 0.1682  1 Sm 2.41, 2 Pm 2.42
Pm1 0.6667 0.3333 0.0000  6 O 2.42
Pm2 0.3333 0.6667 0.0000  6 O 2.42
Cs1 0.1666 0.8334 0.5000  6 O 3.12-3.13
Cs2 0.8334 0.1666 0.5000  6 O 3.12-3.13
Cs3 0.5000 0.5000 0.5000  6 O 3.12-3.13
Sm1 0.0000 0.0000 0.0000  6 O 2.41

Summary:
DOS at the Fermi energy = 0.0 states/eV/cell
theoretical density = 6.40 g cm⁻³
formation energy from raw total energies = -2.540 eV per atom



Entry 2:
A plane-wave DFT calculation with PBE was carried out for Sm8Tl2Pt3 after structural relaxation.

a = 7.0409 Å, b = 7.6094 Å, c = 9.1507 Å
α = 114.57°, β = 107.66°, γ = 90.00°
Last column: nearest neighbours and their distance in Å.
Atoms (fractional coordinates):
Tl1 0.6772 0.7512 0.5023  6 Sm 3.16-3.31
Tl2 0.3228 0.2488 0.4977  6 Sm 3.16-3.31
Sm1 0.4071 0.8482 0.2073  2 Pt 2.82-2.84
Sm2 0.9883 0.3427 0.6853  2 Pt 2.98, 1 Tl 3.23
Sm3 0.9153 0.0898 0.1796  3 Pt 2.81-2.95
Sm4 0.0847 0.9102 0.8204  3 Pt 2.81-2.95
Sm5 0.0117 0.6573 0.3147  2 Pt 2.98, 1 Tl 3.23
Sm6 0.4071 0.3591 0.2073  2 Pt 2.82-2.84
Sm7 0.5929 0.1518 0.7927  2 Pt 2.82-2.84
Sm8 0.5929 0.6409 0.7927  2 Pt 2.82-2.84
Pt1 0.0000 0.6919 0.0000  6 Sm 2.84-2.98, 1 Pt 2.92
Pt2 0.0000 0.3081 0.0000  6 Sm 2.84-2.98, 1 Pt 2.92
Pt3 0.5000 0.0000 0.0000  6 Sm 2.81-2.82

Summary:
DOS at the Fermi energy = 11.1 states/eV/cell
formation energy = -527 meV per atom
theoretical density = 8.68 g cm⁻³



Entry 3:
A plane-wave DFT calculation with PBE was carried out for Pa2Ga2Pt3 after structural relaxation.

a = 3.9620 Å, b = 7.1938 Å, c = 9.9656 Å
α = 90.00°, β = 101.47°, γ = 90.00°
Last column: nearest neighbours and their distance in Å.
Atoms (fractional coordinates):
Pt1 0.4339 0.9551 0.8677  1 Ga 2.58, 1 Pt 2.66
Pt2 0.4339 0.5449 0.8677  1 Ga 2.58, 1 Pt 2.66
Pt3 0.2315 0.7500 0.4631  6 Ga 2.55-2.63
Pt4 0.5661 0.4551 0.1323  1 Ga 2.58, 1 Pt 2.66
Pt5 0.7685 0.2500 0.5369  6 Ga 2.55-2.63
Pt6 0.5661 0.0449 0.1323  1 Ga 2.58, 1 Pt 2.66
Pa1 0.9355 0.2500 0.8710  4 Pt 2.90
Pa2 0.1473 0.2500 0.2946  6 Pt 2.93-3.09, 4 Ga 3.08
Pa3 0.0645 0.7500 0.1290  4 Pt 2.90
Pa4 0.8527 0.7500 0.7054  6 Pt 2.93-3.09, 4 Ga 3.08
Ga1 0.6930 0.9464 0.3860  4 Pt 2.55-2.63, 1 Ga 2.83
Ga2 0.6930 0.5536 0.3860  4 Pt 2.55-2.63, 1 Ga 2.83
Ga3 0.3070 0.0536 0.6140  4 Pt 2.55-2.63, 1 Ga 2.83
Ga4 0.3070 0.4464 0.6140  4 Pt 2.55-2.63, 1 Ga 2.83

Summary:
DOS at the Fermi energy = 12.7 states/eV/cell
formation energy = -875 meV per atom
theoretical density = 14.16 g cm⁻³



Entry 4:
A plane-wave DFT calculation with PBE was carried out for Na3ReNi after structural relaxation.

a = 5.1686 Å, b = 5.1686 Å, c = 5.1686 Å
α = 90.00°, β = 90.00°, γ = 90.00°
Last column: nearest neighbours and their distance in Å.
Atoms (fractional coordinates):
Na1 0.0000 0.0000 0.5000  2 Ni 2.58
Na2 0.5000 0.0000 0.0000  2 Ni 2.58
Na3 0.0000 0.5000 0.0000  2 Ni 2.58
Re1 0.5000 0.5000 0.5000  12 Na 3.65
Ni1 0.0000 0.0000 0.0000  6 Na 2.58

Summary:
offset from the most stable computed form = 0.0 kJ/mol of atoms
DOS at the Fermi energy = 4.8 states/eV/cell
formation energy = 1635 meV per atom
theoretical density = 3.77 g cm⁻³



Volume for the records above, in order: 20.2 32.3 19.9 27.6 Å³ per atom